{"formula": "Rb2ThBr5", "functional": "GGA-PBE", "state": "optimized geometry", "e_form_raw_ev_per_atom": -1.622, "e_tot_ev_per_cell": -61.39, "e_above_lowest_polymorph_ev_per_fu": 0.00, "mass_density_g_cm3": 4.4, "dos_at_fermi_per_ev_atom": 0.1786, "lattice_angstrom": [[10.6246, 0.0000, 0.0000], [0.0000, 14.0714, 0.0000], [0.0000, 0.0000, 4.0979]], "species": ["Rb", "Rb", "Rb", "Rb", "Th", "Th", "Br", "Br", "Br", "Br", "Br", "Br", "Br", "Br", "Br", "Br"], "fractional_positions": [[0.0776, 0.1699, 0.0000], [0.4224, 0.6699, 0.0000], [0.5776, 0.3301, 0.0000], [0.9224, 0.8301, 0.0000], [0.0000, 0.5000, 0.5000], [0.5000, 0.0000, 0.5000], [0.0000, 0.0000, 0.5000], [0.1326, 0.6791, 0.5000], [0.1748, 0.4189, 0.0000], [0.3252, 0.9189, 0.0000], [0.3674, 0.1791, 0.5000], [0.5000, 0.5000, 0.5000], [0.6326, 0.8209, 0.5000], [0.6748, 0.0811, 0.0000], [0.8252, 0.5811, 0.0000], [0.8674, 0.3209, 0.5000]]}